1.
Computed, not measured: a relaxed Sr2Ca2Sb2Se crystal at the GGA-PBE level of DFT.

Cell: 5.342 5.342 9.436 Å, 106.44 106.44 90.00°
Fractional coordinates of all 7 atoms:
Sr1 0.179 0.179 0.358
Sr2 0.821 0.821 0.642
Ca1 0.000 0.500 0.000
Ca2 0.500 0.000 0.000
Sb1 0.370 0.370 0.741
Sb2 0.630 0.630 0.259
Se1 0.000 0.000 0.000

## Properties
* formation energy without anion corrections: -825 kJ/mol of formula units
* symmetry: I4/mmm, No. 139
* uncorrected energy: -3.950 eV/atom
* magnetic moment: 0.00 μB per cell

---

2.
Computed, not measured: a relaxed CaSb2TeSe crystal at the GGA-PBE level of DFT.

Cell: 5.829 5.829 5.564 Å, 90.00 90.00 90.00°
Last column: magnetic moment on the atom in μB.
Fractional coordinates of all 5 atoms:
Sb1 0.000 0.500 0.000  -0.01
Sb2 0.500 0.000 0.000  -0.01
Ca1 0.000 0.000 0.000  0.01
Te1 0.000 0.000 0.500  0.11
Se1 0.500 0.500 0.500  0.41

## Properties
* Fermi-level density of states: 6.35 states/eV/cell
* formation energy without anion corrections: 315 kJ/mol of formula units
* symmetry: P4/mmm, No. 123
* uncorrected energy: -2.721 eV/atom
* magnetic moment: 0.85 μB per cell

---

3.
Computed, not measured: a relaxed CaSb2TeSe crystal at the GGA-PBE level of DFT.

Cell: 5.437 5.437 5.535 Å, 90.00 90.00 90.00°
Fractional coordinates of all 5 atoms:
Sb1 0.000 0.500 0.000
Sb2 0.500 0.000 0.000
Ca1 0.500 0.500 0.500
Te1 0.000 0.000 0.500
Se1 0.000 0.000 0.000

## Properties
* Fermi-level density of states: 2.75 states/eV/cell
* formation energy without anion corrections: 5 kJ/mol of formula units
* symmetry: P4/mmm, No. 123
* uncorrected energy: -3.364 eV/atom
* magnetic moment: 0.00 μB per cell

---

4.
Computed, not measured: a relaxed Ca2Tl3SbSe6 crystal at the GGA-PBE level of DFT.

Cell: 7.370 7.370 7.760 Å, 99.17 99.17 119.87°
Fractional coordinates of all 12 atoms:
Ca1 0.336 0.664 0.000
Ca2 0.664 0.336 0.000
Tl1 0.177 0.823 0.500
Tl2 0.823 0.177 0.500
Tl3 0.500 0.500 0.500
Sb1 0.000 0.000 0.000
Se1 0.930 0.618 0.792
Se2 0.762 0.762 0.223
Se3 0.070 0.382 0.208
Se4 0.618 0.930 0.792
Se5 0.238 0.238 0.777
Se6 0.382 0.070 0.208

## Properties
* Fermi-level density of states: 4.48 states/eV/cell
* formation energy without anion corrections: -971 kJ/mol of formula units
* symmetry: C2/m, No. 12
* uncorrected energy: -3.850 eV/atom
* magnetic moment: 0.00 μB per cell